Computed, not measured: a relaxed structure of Pu3Si4Tc2 at the PBE level of DFT.

Computed properties:
SG ... C2/m (12)
Energy ... -9.852 eV per atom
Energy relative to the elements, uncorrected ... -361 meV per atom

a = 4.1671 Å, b = 5.6724 Å, c = 8.6067 Å
α = 117.93°, β = 90.00°, γ = 111.55°
Closest atoms and distances in Å follow each position.
Sites, in units of the cell vectors:
Si 0.2882 0.5763 0.9588  2 Si 2.46, 1 Tc 2.48
Pu 0.3739 0.7477 0.3320  1 Pu 2.77, 6 Si 2.87-3.04, 1 Tc 3.02
Si 0.1325 0.2650 0.4273  3 Tc 2.50-2.58
Tc 0.6284 0.2568 0.2637  4 Si 2.48-2.58
Pu 0.0000 0.0000 0.0000  4 Tc 2.87, 6 Si 2.94-3.21
Si 0.7118 0.4237 0.0412  2 Si 2.46, 1 Tc 2.48
Tc 0.3716 0.7432 0.7363  4 Si 2.48-2.58
Si 0.8675 0.7350 0.5727  3 Tc 2.50-2.58
Pu 0.6261 0.2523 0.6680  1 Pu 2.77, 6 Si 2.87-3.04, 1 Tc 3.02